No. 1
Density functional theory data (PBE) for YTmSi after structural relaxation.

Unit cell a=6.803 b=6.803 c=6.803 alpha=90.00 beta=90.00 gamma=90.00
Space group F-43m (No. 216)
One atom of each set of equivalent atoms:
Y 0.000 0.000 0.000
Tm 0.000 0.000 0.500
Si 0.250 0.250 0.250

Values from the calculation:
- Energy relative to the elements, uncorrected: -0.47 eV per atom
- Energy above the most stable polymorph in this dataset: 7.0 kJ per mole of atoms
- Volume: 78.7 Å³/f.u.
- Calculated total energy: -5.926 eV per atom

No. 2
Density functional theory data (PBE) for PrZrPb after structural relaxation.

Unit cell a=4.441 b=4.441 c=17.521 alpha=90.00 beta=90.00 gamma=90.00
Space group I4/mmm (No. 139)
One atom of each set of equivalent atoms:
Pr 0.000 0.000 0.177
Zr 0.000 0.500 0.000
Pb 0.000 0.000 0.373

Values from the calculation:
- Energy above the most stable polymorph in this dataset: 1.0 kJ per mole of atoms
- Volume: 86.4 Å³/f.u.
- Calculated total energy: -6.047 eV per atom

No. 3
Density functional theory data (PBE) for Mg3Zn9Cu2 after structural relaxation.

Unit cell a=4.227 b=8.988 c=12.169 alpha=90.00 beta=90.00 gamma=90.00
Space group Immm (No. 71)
One atom of each set of equivalent atoms:
Mg 0.000 0.000 0.000
Mg 0.000 0.000 0.306
Zn 0.000 0.272 0.120
Zn 0.000 0.359 0.329
Zn 0.000 0.500 0.000
Cu 0.000 0.183 0.500

Values from the calculation:
- Volume: 231.1 Å³/f.u.
- Calculated total energy: -1.792 eV per atom

No. 4
Density functional theory data (PBE) for NdTmGe2 after structural relaxation.

Unit cell a=4.792 b=4.792 c=4.069 alpha=90.00 beta=90.00 gamma=90.00
Space group P4/mmm (No. 123)
One atom of each set of equivalent atoms:
Nd 0.000 0.000 0.000
Tm 0.500 0.500 0.000
Ge 0.000 0.500 0.500

Values from the calculation:
- Energy above the most stable polymorph in this dataset: 20.7 kJ per mole of atoms
- Volume: 93.5 Å³/f.u.
- Calculated total energy: -5.226 eV per atom